Computed, not measured: an optimized crystal structure of Pr2CoF at the GGA+U level of DFT.

Unit cell a=4.064 b=4.064 c=8.004 alpha=75.30 beta=75.30 gamma=60.00
Fractional positions:
Pr 0.102 0.102 0.694
Pr 0.898 0.898 0.306
Co 0.500 0.500 0.500
F 0.000 0.000 0.000

Results
Total magnetic moment = 0.00 μB per formula unit
Raw total energy = -5.128 eV/atom